Below is crystalline KSr2Mg at its relaxed geometry, with properties calculated at the PBE level.

Cell: 6.098 6.098 5.098 Å, 90.00 90.00 90.00°
Fractional positions:
K: 0.000 0.000 0.000
Sr: 0.000 0.500 0.500
Sr: 0.500 0.000 0.500
Mg: 0.500 0.500 0.000

The value obtained for the density is 2.09 g/cm³. The value obtained for the final energy is -1.372 eV/atom. As for the density of states at the Fermi level: 4.083 states/eV/cell. As for the symmetry: No. 123.

=====

Below is crystalline K2SmBe2S4 at its relaxed geometry, with properties calculated at the PBE level.

Cell: 7.656 7.656 8.085 Å, 113.49 113.49 27.91°
Fractional positions:
K: 0.126 0.126 0.057
K: 0.874 0.874 0.943
Sm: 0.000 0.000 0.500
Be: 0.328 0.328 0.530
Be: 0.672 0.672 0.470
S: 0.211 0.211 0.636
S: 0.468 0.468 0.738
S: 0.532 0.532 0.262
S: 0.789 0.789 0.364

The formation energy (no corrections) comes out at -1.21 eV per atom. The value obtained for the density is 3.08 g/cm³. The value obtained for the final energy is -4.641 eV/atom. As for the density of states at the Fermi level: 3.203 states/eV/cell. As for the symmetry: No. 12.

=====

Below is crystalline Cs3HgPt at its relaxed geometry, with properties calculated at the PBE level.

Cell: 6.688 6.688 6.688 Å, 90.00 90.00 90.00°
Fractional positions:
Cs: 0.000 0.000 0.500
Cs: 0.000 0.500 0.000
Cs: 0.500 0.000 0.000
Hg: 0.500 0.500 0.500
Pt: 0.000 0.000 0.000

The value obtained for the density is 4.41 g/cm³. The value obtained for the final energy is -1.799 eV/atom. As for the density of states at the Fermi level: 4.663 states/eV/cell. As for the symmetry: No. 221.

=====

Below is crystalline SrLiCo2Ge at its relaxed geometry, with properties calculated at the PBE level.

Cell: 4.511 4.511 4.486 Å, 90.00 90.00 90.00°
Fractional positions:
Sr: 0.000 0.000 0.000
Li: 0.500 0.500 0.500
Co: 0.000 0.500 0.500
Co: 0.500 0.000 0.500
Ge: 0.500 0.500 0.000

The value obtained for the density is 5.19 g/cm³. The value obtained for the final energy is -3.938 eV/atom. As for the density of states at the Fermi level: 3.687 states/eV/cell. As for the symmetry: No. 123.

=====

Below is crystalline Sr2CdGa3 at its relaxed geometry, with properties calculated at the PBE level.

Cell: 9.371 9.121 6.279 Å, 72.32 68.01 39.67°
Fractional positions:
Sr: 0.242 0.758 0.758
Sr: 0.250 0.250 0.250
Sr: 0.750 0.750 0.750
Sr: 0.758 0.242 0.242
Cd: 0.168 0.168 0.832
Cd: 0.832 0.832 0.168
Ga: 0.179 0.659 0.341
Ga: 0.339 0.339 0.661
Ga: 0.341 0.821 0.179
Ga: 0.659 0.179 0.821
Ga: 0.661 0.661 0.339
Ga: 0.821 0.341 0.659

The value obtained for the density is 5.20 g/cm³. The value obtained for the final energy is -2.657 eV/atom. As for the density of states at the Fermi level: 4.097 states/eV/cell. As for the symmetry: No. 69.

=====

Below is crystalline ThTaTcGe2 at its relaxed geometry, with properties calculated at the PBE level.

Cell: 6.509 6.509 6.509 Å, 143.31 143.31 52.87°
Fractional positions:
Th: 0.000 0.000 0.000
Ta: 0.250 0.750 0.500
Tc: 0.750 0.250 0.500
Ge: 0.389 0.389 0.000
Ge: 0.611 0.611 0.000

The value obtained for the density is 11.13 g/cm³. The value obtained for the final energy is -8.242 eV/atom. As for the density of states at the Fermi level: 3.091 states/eV/cell. As for the symmetry: No. 119.

=====

Below is crystalline Ga2SnMo2 at its relaxed geometry, with properties calculated at the PBE level.

Cell: 7.064 7.064 3.528 Å, 90.00 90.00 90.00°
Fractional positions:
Ga: 0.154 0.346 0.000
Ga: 0.346 0.846 0.000
Ga: 0.654 0.154 0.000
Ga: 0.846 0.654 0.000
Sn: 0.000 0.000 0.500
Sn: 0.500 0.500 0.500
Mo: 0.138 0.638 0.500
Mo: 0.362 0.138 0.500
Mo: 0.638 0.862 0.500
Mo: 0.862 0.362 0.500

The value obtained for the density is 8.49 g/cm³. The value obtained for the final energy is -6.215 eV/atom. As for the density of states at the Fermi level: 7.160 states/eV/cell. As for the symmetry: No. 127.

=====

Below is crystalline Zr2TePb at its relaxed geometry, with properties calculated at the PBE level.

Cell: 3.790 3.790 7.358 Å, 90.00 90.00 90.00°
Fractional positions:
Zr: 0.000 0.000 0.000
Zr: 0.500 0.500 0.242
Te: 0.500 0.500 0.831
Pb: 0.000 0.000 0.449

The formation energy (no corrections) comes out at -0.44 eV per atom. The value obtained for the density is 8.13 g/cm³. The value obtained for the final energy is -6.423 eV/atom. As for the density of states at the Fermi level: 3.218 states/eV/cell. As for the symmetry: No. 99.